[1]
MgZr12Sc6 | PBE | relaxed

Geometry as POSCAR:
```
MgZr12Sc6
1.0
8.3275 -1.6599 -2.2642
-4.0552 7.7879 -1.6802
-0.3207 0.0634 7.8150
Zr Sc Mg
12 6 1
Direct
0.5922 0.2613 0.8004
0.6464 0.8300 0.6052
0.8280 0.4220 0.2643
0.8023 0.5901 0.6082
0.3536 0.1700 0.3948
0.5456 0.5762 0.8354
0.1977 0.4099 0.3918
0.2727 0.8296 0.5031
0.7273 0.1704 0.4969
0.4544 0.4238 0.1646
0.1720 0.5780 0.7357
0.4078 0.7387 0.1996
0.3237 0.9984 0.9690
0.1403 0.1786 0.6855
0.0016 0.3247 0.9511
0.6763 0.0016 0.0310
0.9984 0.6753 0.0489
0.8597 0.8214 0.3145
0.0000 0.0000 0.0000
```

Results
Spin magnetization = 0.0 μB per formula unit
ΔE_f = 8.9 kJ/mol of atoms
Raw total energy = -7.390 eV per atom
Fermi-level density of states = 25.356 states/eV/cell



[2]
Mn2IrRh | PBE | relaxed

Geometry as POSCAR:
```
Mn2IrRh
1.0
8.5625 -0.0074 -0.0043
8.1348 2.6722 -0.0043
8.1348 1.2983 2.3356
Rh Ir Mn
1 1 2
Direct
0.5043 0.5043 0.5043
0.7452 0.7452 0.7452
0.2519 0.2519 0.2519
0.9985 0.9985 0.9985
```

Results
Spin magnetization = 4.4 μB per formula unit
ΔE_f = 5.4 kJ/mol of atoms
Raw total energy = -8.581 eV per atom
Fermi-level density of states = 4.804 states/eV/cell



[3]
K2PuScSe4 | PBE | relaxed

Geometry as POSCAR:
```
K2PuScSe4
1.0
-2.1438 -1.2337 3.3392
-5.3584 -2.2291 -4.2636
5.0180 -6.1495 0.9496
Se K Sc Pu
4 2 1 1
Direct
0.5000 0.2476 0.2021
0.5000 0.7524 0.7979
0.0000 0.2807 0.8024
0.0000 0.7193 0.1976
0.0000 0.5000 0.5000
0.5000 0.0000 0.5000
0.5000 0.5000 0.0000
0.0000 0.0000 0.0000
```

Results
Formation energy without anion corrections = -1.52 eV per atom
Spin magnetization = 5.0 μB per formula unit
Raw total energy = -6.124 eV per atom
Fermi-level density of states = 11.674 states/eV/cell



[4]
Hf2SnBAs | PBE | relaxed

Geometry as POSCAR:
```
Hf2SnBAs
1.0
-1.0807 -3.8802 -2.8978
4.9830 -1.2064 -0.2430
-0.4974 -2.8644 4.0210
Hf As Sn B
2 1 1 1
Direct
0.5000 0.0000 0.0000
0.0000 0.0000 0.5000
0.0000 0.0000 0.0000
0.0000 0.5000 0.0000
0.5000 0.5000 0.5000
```

Results
Spin magnetization = 0.0 μB per formula unit
ΔE_f = 127.0 kJ/mol of atoms
Raw total energy = -5.731 eV per atom
Fermi-level density of states = 3.840 states/eV/cell



[5]
NaMgGa2Ni | PBE | relaxed

Geometry as POSCAR:
```
NaMgGa2Ni
1.0
-1.8174 -0.2212 4.6698
3.8319 -2.1232 1.3907
2.0903 4.4431 1.0240
Ga Ni Mg Na
2 1 1 1
Direct
0.5000 0.0000 0.0000
0.0000 0.0000 0.5000
0.0000 0.5000 0.0000
0.5000 0.5000 0.5000
0.0000 0.0000 0.0000
```

Results
Spin magnetization = 0.0 μB per formula unit
ΔE_f = 83.8 kJ/mol of atoms
Raw total energy = -2.081 eV per atom
Polymorph energy (0 for the lowest one) = 1020.7 meV per atom
Fermi-level density of states = 2.966 states/eV/cell



[6]
NaAlIn2 | PBE | relaxed

Geometry as POSCAR:
```
NaAlIn2
1.0
-2.9313 3.3541 2.2450
-3.9351 0.6147 -6.0565
-1.9674 -5.7380 0.6959
Al In Na
2 4 2
Direct
0.0756 0.1892 0.8047
0.0756 0.8108 0.8047
0.5088 0.0000 0.6679
0.3167 0.2931 0.2892
0.9171 0.5000 0.4946
0.3167 0.7069 0.2892
0.6213 0.5000 0.9001
0.7912 0.0000 0.2339
```

Results
Spin magnetization = 0.0 μB per formula unit
ΔE_f = -0.4 kJ/mol of atoms
Raw total energy = -2.639 eV per atom
Fermi-level density of states = 2.094 states/eV/cell



Q: Number 6 is which compound?
A: NaAlIn2



What did the second record say?
Mn2IrRh | PBE | relaxed

Geometry as POSCAR:
```
Mn2IrRh
1.0
8.5625 -0.0074 -0.0043
8.1348 2.6722 -0.0043
8.1348 1.2983 2.3356
Rh Ir Mn
1 1 2
Direct
0.5043 0.5043 0.5043
0.7452 0.7452 0.7452
0.2519 0.2519 0.2519
0.9985 0.9985 0.9985
```

Results
Spin magnetization = 4.4 μB per formula unit
ΔE_f = 5.4 kJ/mol of atoms
Raw total energy = -8.581 eV per atom
Fermi-level density of states = 4.804 states/eV/cell